# ScCoTeO6, optimized geometry, DFT PBE with a Hubbard U
# DFT total energy: -6.45 eV/atom
# magnetization: 4.04 μB/f.u.
# DOS at the Fermi energy: 0.470 states/eV/atom
data_ScCoTeO6
_chemical_formula_sum 'Sc2 Co2 Te2 O12'
_symmetry_space_group_name_H-M 'P -3 1 c'
_symmetry_Int_Tables_number 163
_symmetry_space_group_name_Hall '-P 3 2c'
_cell_length_a 5.2854
_cell_length_b 5.2854
_cell_length_c 8.7034
_cell_angle_alpha 90.00
_cell_angle_beta 90.00
_cell_angle_gamma 120.00
loop_
_atom_site_label
_atom_site_type_symbol
_atom_site_fract_x
_atom_site_fract_y
_atom_site_fract_z
Sc1 Sc 0.3333 0.6667 0.2500
Co1 Co 0.0000 0.0000 0.0000
Te1 Te 0.3333 0.6667 0.7500
O1 O 0.0236 0.3529 0.6281